DFT (PBE with a Hubbard U) results for crystalline TbGe2WO8 at its relaxed geometry.

abc: 5.796 5.796 5.796
angles: 106.91 106.91 114.72
Fractional positions:
Tb 0.250 0.750 0.500
Ge 0.750 0.250 0.500
Ge 0.500 0.500 0.000
W 0.000 0.000 0.000
O 0.371 0.066 0.305
O 0.291 0.463 0.173
O 0.291 0.118 0.827
O 0.760 0.066 0.695
O 0.882 0.709 0.173
O 0.934 0.240 0.305
O 0.934 0.629 0.695
O 0.537 0.709 0.827

Results
Its total moment is 1.00 μB per formula unit. The density of states at the Fermi level is 0.00 states/eV/f.u. The calculation puts the total energy at -85.77 eV per cell.